Entry 1:
Material: Pr2Ge2Se5
Method: DFT, PBE-GGA
State: optimized geometry

abc: 14.413 5.161 8.344
angles: 90.00 123.64 90.00
Space group C2/m (No. 12)
Symmetry-distinct sites (fractional):
1 Pr 0.120 0.000 0.267 (multiplicity 4)
2 Ge 0.129 0.500 0.828 (multiplicity 4)
3 Se 0.000 0.500 0.000 (multiplicity 2)
4 Se 0.139 0.500 0.498 (multiplicity 4)
5 Se 0.145 0.000 0.937 (multiplicity 4)

Properties
Crystal system   monoclinic
Total moment   0.00 μB per cell
Formation energy without anion corrections   -1.010 eV/atom

---

Entry 2:
Material: Er4RuPb2
Method: DFT, PBE-GGA
State: optimized geometry

abc: 11.296 4.663 8.668
angles: 90.00 123.85 90.00
Space group C2/m (No. 12)
Symmetry-distinct sites (fractional):
1 Er 0.061 0.000 0.349 (multiplicity 4)
2 Er 0.164 0.500 0.052 (multiplicity 4)
3 Ru 0.000 0.000 0.000 (multiplicity 2)
4 Pb 0.168 0.500 0.676 (multiplicity 4)

Properties
Crystal system   monoclinic
Total moment   0.00 μB per cell
DOS at the Fermi energy   10.88 states/eV per cell
E above lowest polymorph   0.00 kcal/mol of atoms

---

Entry 3:
Material: HfAsIrAu2
Method: DFT, PBE-GGA
State: optimized geometry

abc: 5.054 5.054 4.805
angles: 90.00 90.00 90.00
Space group P4/mmm (No. 123)
Symmetry-distinct sites (fractional):
1 Hf 0.000 0.000 0.000 (multiplicity 1)
2 As 0.500 0.500 0.000 (multiplicity 1)
3 Ir 0.000 0.000 0.500 (multiplicity 1)
4 Au 0.000 0.500 0.500 (multiplicity 2)

Properties
Crystal system   tetragonal
Total moment   0.00 μB per cell
DOS at the Fermi energy   4.64 states/eV per cell

---

Entry 4:
Material: PuSiAu
Method: DFT, PBE-GGA
State: optimized geometry

abc: 4.407 10.746 5.327
angles: 90.00 90.00 90.00
Space group Cmcm (No. 63)
Symmetry-distinct sites (fractional):
1 Pu 0.000 0.113 0.250 (multiplicity 4)
2 Si 0.000 0.200 0.750 (multiplicity 4)
3 Au 0.000 0.412 0.250 (multiplicity 4)

Properties
Crystal system   orthorhombic
Total moment   21.61 μB per cell
Formation energy without anion corrections   -0.264 eV/atom
DOS at the Fermi energy   36.89 states/eV per cell

---

For the records above, the corresponding mass density values read 5.3; 10.4; 11.4; 12.4 g cm⁻³.
For the records above, the corresponding total energy values read -90.6; -76.0; -26.6; -95.3 eV for the cell shown.